#A
! P3RuO9 (GGA-PBEsol, optimized geometry); values from VASP
! V: 14.1 Å³ per atom
! Space-group type: P-1 (2)
! Fermi-level density of states: 11.78 states/eV/cell
! ρ: 3.1 g/cm³
&SYSTEM
  ibrav = 0, nat = 26, ntyp = 3
/
ATOMIC_SPECIES
P 30.97 P.upf
O 16.00 O.upf
Ru 101.07 Ru.upf
CELL_PARAMETERS angstrom
-0.635 -3.127 -3.968
6.729 1.324 -1.785
1.709 -7.876 6.444
ATOMIC_POSITIONS angstrom
P 3.075 -6.172 1.543
P 6.381 -1.775 -2.621
P 4.729 -3.507 -0.852
P 5.503 -7.523 0.692
P 2.300 -2.155 -0.001
P 1.423 -7.904 3.313
O 5.989 -2.698 -1.377
O 1.971 -9.291 3.131
O 3.380 -5.092 2.552
O 5.832 -0.387 -2.439
O 5.984 -2.518 -3.873
O 6.564 -6.546 1.391
O 1.819 -7.161 4.564
O 5.923 -8.957 0.876
O 5.258 -7.028 -0.709
O 2.545 -2.650 1.400
O 5.015 -3.916 0.566
O 1.880 -0.721 -0.185
O 4.217 -7.307 1.610
O 1.239 -3.133 -0.699
O 2.788 -5.762 0.126
O 4.424 -4.586 -1.861
O 3.586 -2.371 -0.919
O 1.814 -6.980 2.068
Ru 4.219 -3.276 2.329
Ru 0.000 0.000 0.000



#B
! P3RuO9 (GGA-PBEsol, optimized geometry); values from VASP
! V: 12.5 Å³ per atom
! Space-group type: C2/c (15)
! Fermi-level density of states: 12.43 states/eV/cell
! ρ: 3.5 g/cm³
&SYSTEM
  ibrav = 0, nat = 26, ntyp = 3
/
ATOMIC_SPECIES
O 16.00 O.upf
Ru 101.07 Ru.upf
P 30.97 P.upf
CELL_PARAMETERS angstrom
6.508 0.000 0.000
3.254 6.580 0.012
3.254 0.973 7.577
ATOMIC_POSITIONS angstrom
O 3.710 1.953 4.466
O 2.424 1.985 1.354
O 8.523 1.213 6.220
O 6.335 3.721 6.316
O 9.306 5.601 3.123
O 10.592 5.568 6.234
O 3.254 0.000 0.000
O 8.523 3.537 5.151
O 4.493 6.341 1.369
O 6.508 3.777 3.794
O 7.338 5.762 5.149
O 5.678 1.791 2.440
O 6.681 6.525 2.533
O 6.681 3.832 1.273
O 6.335 1.029 5.056
O 4.493 4.016 2.437
O 10.218 2.797 6.905
O 2.798 4.756 0.683
Ru 4.881 0.487 3.788
Ru 1.627 3.290 0.006
P 7.121 4.277 5.160
P 3.563 5.178 1.903
P 10.375 7.053 6.223
P 5.895 3.276 2.429
P 2.641 0.500 1.366
P 9.453 2.375 5.686



Result of the stability comparison: #A is the most stable of them.